The following is a DFT calculation (PBE-GGA) of a relaxed structure of Sc8Ni2Pd.

The space group is C2/m (No. 12) and the conventional cell measures 7.788, 12.099 and 5.074 Å, with angles of 90.00, 106.84 and 90.00 degrees. The asymmetric unit holds Sc at (0.000, 0.228, 0.000), Sc at (0.128, 0.500, 0.816), Sc at (0.204, 0.126, 0.592), Ni at (0.000, 0.305, 0.500) and Pd at (0.000, 0.000, 0.000).

The value obtained for the density of states at the Fermi level is 31.2 states/eV/cell. As for the energy of formation: -261 meV/atom.

=====

The following is a DFT calculation (PBE-GGA) of a relaxed structure of Sc4NiPd.

The space group is C2/m (No. 12) and the conventional cell measures 6.356, 6.356 and 6.435 Å, with angles of 90.00, 90.08 and 90.00 degrees. The asymmetric unit holds Sc at (0.250, 0.250, 0.237), Ni at (0.000, 0.000, 0.000) and Pd at (0.000, 0.500, 0.500).

The value obtained for the density of states at the Fermi level is 16.1 states/eV/cell. As for the energy of formation: -320 meV/atom.

=====

The highest energy of formation belongs to which entry? Sc8Ni2Pd

=====

What did the first record say?
The following is a DFT calculation (PBE-GGA) of a relaxed structure of Sc8Ni2Pd.

The space group is C2/m (No. 12) and the conventional cell measures 7.788, 12.099 and 5.074 Å, with angles of 90.00, 106.84 and 90.00 degrees. The asymmetric unit holds Sc at (0.000, 0.228, 0.000), Sc at (0.128, 0.500, 0.816), Sc at (0.204, 0.126, 0.592), Ni at (0.000, 0.305, 0.500) and Pd at (0.000, 0.000, 0.000).

The value obtained for the density of states at the Fermi level is 31.2 states/eV/cell. As for the energy of formation: -261 meV/atom.

=====

Repeat the first record exactly.
The following is a DFT calculation (PBE-GGA) of a relaxed structure of Sc8Ni2Pd.

The space group is C2/m (No. 12) and the conventional cell measures 7.788, 12.099 and 5.074 Å, with angles of 90.00, 106.84 and 90.00 degrees. The asymmetric unit holds Sc at (0.000, 0.228, 0.000), Sc at (0.128, 0.500, 0.816), Sc at (0.204, 0.126, 0.592), Ni at (0.000, 0.305, 0.500) and Pd at (0.000, 0.000, 0.000).

The value obtained for the density of states at the Fermi level is 31.2 states/eV/cell. As for the energy of formation: -261 meV/atom.

=====

Which of these has the lowest energy of formation? Sc4NiPd